# 1
A plane-wave DFT calculation with PBE-GGA was carried out for a relaxed structure of In6HgBi4.

Cell lengths 10.5734, 10.5734, 3.4975 Å; angles 90.00, 90.00, 120.00 degrees
Sites, in units of the cell vectors:
In 0.1680 0.3360 0.0000
In 0.1680 0.8320 0.0000
In 0.5171 0.0341 0.5000
In 0.5171 0.4829 0.5000
In 0.6640 0.8320 0.0000
In 0.9659 0.4829 0.5000
Hg 0.0000 0.0000 0.5000
Bi 0.3333 0.6667 0.5000
Bi 0.3600 0.1800 0.0000
Bi 0.8200 0.1800 0.0000
Bi 0.8200 0.6400 0.0000

## Properties
energy of formation from the pure elements: 61 meV/atom
calculated density: 8.46 Mg/m³
V: 30.8 A^3/atom

# 2
A plane-wave DFT calculation with PBE-GGA was carried out for a relaxed structure of Ba4Si2Ge5.

Cell lengths 7.4945, 5.1031, 8.2939 Å; angles 90.00, 93.12, 90.00 degrees
Sites, in units of the cell vectors:
Ba 0.2290 0.0000 0.1343
Ba 0.2696 0.0000 0.6404
Ba 0.7304 0.0000 0.3597
Ba 0.7710 0.0000 0.8657
Si 0.0784 0.5000 0.3794
Si 0.9216 0.5000 0.6206
Ge 0.1080 0.5000 0.8804
Ge 0.4076 0.5000 0.3618
Ge 0.5000 0.5000 0.0000
Ge 0.5924 0.5000 0.6382
Ge 0.8920 0.5000 0.1196

## Properties
formation energy without anion corrections: -4.77 eV/f.u.
calculated density: 5.08 Mg/m³
V: 28.8 A^3/atom

# 3
A plane-wave DFT calculation with PBE-GGA was carried out for a relaxed structure of CdGe.

Cell lengths 4.7353, 4.7353, 5.6446 Å; angles 90.00, 90.00, 120.00 degrees
Sites, in units of the cell vectors:
Cd 0.3333 0.6667 0.2500
Cd 0.6667 0.3333 0.7500
Ge 0.3333 0.6667 0.7500
Ge 0.6667 0.3333 0.2500

## Properties
energy of formation from the pure elements: 358 meV/atom
calculated density: 5.61 Mg/m³
V: 27.4 A^3/atom

# 4
A plane-wave DFT calculation with PBE-GGA was carried out for a relaxed structure of TmCd2Ag3.

Cell lengths 10.9383, 10.3625, 5.3482 Å; angles 81.52, 69.56, 28.92 degrees
Sites, in units of the cell vectors:
Tm 0.1466 0.1466 0.8534
Tm 0.8534 0.8534 0.1466
Cd 0.2404 0.7596 0.7596
Cd 0.2500 0.2500 0.2500
Cd 0.7500 0.7500 0.7500
Cd 0.7596 0.2404 0.2404
Ag 0.2147 0.6040 0.3960
Ag 0.2969 0.2969 0.7031
Ag 0.3960 0.7853 0.2147
Ag 0.6040 0.2147 0.7853
Ag 0.7031 0.7031 0.2969
Ag 0.7853 0.3960 0.6040

## Properties
energy of formation from the pure elements: -90 meV/atom
calculated density: 9.26 Mg/m³
V: 21.4 A^3/atom

# 5
A plane-wave DFT calculation with PBE-GGA was carried out for a relaxed structure of TaH3.

Cell lengths 2.9258, 2.9258, 3.0888 Å; angles 90.00, 90.00, 90.00 degrees
Sites, in units of the cell vectors:
Ta 0.0000 0.0000 0.0000
H 0.0000 0.5000 0.5010
H 0.5000 0.0000 0.5010
H 0.5000 0.5000 0.0022

## Properties
calculated density: 11.55 Mg/m³
V: 6.6 A^3/atom
DFT total energy: -21.48 eV per formula unit

# 6
A plane-wave DFT calculation with PBE-GGA was carried out for a relaxed structure of PtI2O2.

Cell lengths 5.5979, 5.5979, 3.7367 Å; angles 90.00, 90.00, 90.00 degrees
Sites, in units of the cell vectors:
Pt 0.0000 0.0000 0.0000
I 0.0000 0.5000 0.0000
I 0.5000 0.0000 0.0000
O 0.0000 0.0000 0.5000
O 0.5000 0.5000 0.5000

## Properties
formation energy without anion corrections: 3.39 eV/f.u.
calculated density: 6.82 Mg/m³
V: 23.4 A^3/atom

Q: Which of these has the highest calculated density?
A: TaH3

What did the third record say?
A plane-wave DFT calculation with PBE-GGA was carried out for a relaxed structure of CdGe.

Cell lengths 4.7353, 4.7353, 5.6446 Å; angles 90.00, 90.00, 120.00 degrees
Sites, in units of the cell vectors:
Cd 0.3333 0.6667 0.2500
Cd 0.6667 0.3333 0.7500
Ge 0.3333 0.6667 0.7500
Ge 0.6667 0.3333 0.2500

## Properties
energy of formation from the pure elements: 358 meV/atom
calculated density: 5.61 Mg/m³
V: 27.4 A^3/atom

Q: Which formula does entry 6 have?
A: PtI2O2